No. 1
The following is a PBE calculation of crystalline Rb2ScSiS4 at its relaxed geometry, from Alexandria via LeMat-Bulk.

Calculated values
E_form (uncorrected)   -1.151 eV per atom
D(E_F)   6.17 states/eV per cell
ρ   2.35 g/cm³

Lattice parameters (Å, degrees): 6.266 7.572 12.579 84.09 75.58 65.56
Atoms (fractional coordinates):
1 Rb 0.179 0.000 0.642
2 Rb 0.821 0.000 0.358
3 Rb 0.571 0.500 0.858
4 Rb 0.929 0.500 0.142
5 Sc 0.750 0.500 0.500
6 Sc 0.000 0.000 0.000
7 Si 0.250 0.500 0.500
8 Si 0.500 0.000 0.000
9 S 0.325 0.820 0.097
10 S 0.241 0.180 0.903
11 S 0.855 0.820 0.903
12 S 0.579 0.180 0.097
13 S 0.425 0.680 0.403
14 S 0.509 0.320 0.597
15 S 0.895 0.680 0.597
16 S 0.171 0.320 0.403

***

No. 2
The following is a PBE calculation of crystalline Rb2ScSi2S6 at its relaxed geometry, from Alexandria via LeMat-Bulk.

Calculated values
E_form (uncorrected)   -1.000 eV per atom
D(E_F)   7.01 states/eV per cell
ρ   2.76 g/cm³

Lattice parameters (Å, degrees): 6.996 6.979 7.812 117.38 90.00 120.08
Atoms (fractional coordinates):
1 Rb 0.720 0.440 0.212
2 Rb 0.280 0.560 0.788
3 Sc 0.500 0.000 0.500
4 Si 0.955 0.909 0.815
5 Si 0.045 0.091 0.185
6 S 0.749 0.499 0.669
7 S 0.216 0.929 0.226
8 S 0.287 0.071 0.774
9 S 0.784 0.071 0.774
10 S 0.713 0.929 0.226
11 S 0.251 0.501 0.331

***

No. 3
The following is a PBE calculation of crystalline RbScSiS4 at its relaxed geometry, from Alexandria via LeMat-Bulk.

Calculated values
E_form (uncorrected)   -1.311 eV per atom
D(E_F)   0.00 states/eV per cell
ρ   2.71 g/cm³

Lattice parameters (Å, degrees): 6.194 6.655 8.996 90.00 108.48 90.00
Atoms (fractional coordinates):
1 Rb 0.741 0.750 0.942
2 Rb 0.259 0.250 0.058
3 Sc 0.781 0.750 0.454
4 Sc 0.219 0.250 0.546
5 Si 0.233 0.750 0.345
6 Si 0.767 0.250 0.655
7 S 0.003 0.496 0.690
8 S 0.997 0.996 0.310
9 S 0.997 0.504 0.310
10 S 0.003 0.004 0.690
11 S 0.430 0.750 0.193
12 S 0.570 0.250 0.807
13 S 0.459 0.750 0.576
14 S 0.541 0.250 0.424

***

No. 4
The following is a PBE calculation of crystalline Rb3SmSc2S6 at its relaxed geometry, from Alexandria via LeMat-Bulk.

Calculated values
E_form (uncorrected)   -1.742 eV per atom
D(E_F)   0.00 states/eV per cell
ρ   3.65 g/cm³

Lattice parameters (Å, degrees): 6.883 6.883 7.983 98.28 98.28 120.00
Atoms (fractional coordinates):
1 Rb 0.164 0.836 0.500
2 Rb 0.836 0.164 0.500
3 Rb 0.500 0.500 0.500
4 Sm 0.000 0.000 0.000
5 Sc 0.333 0.667 0.000
6 Sc 0.667 0.333 0.000
7 S 0.938 0.587 0.813
8 S 0.711 0.711 0.186
9 S 0.062 0.413 0.187
10 S 0.587 0.938 0.813
11 S 0.289 0.289 0.814
12 S 0.413 0.062 0.187

***

No. 5
The following is a PBE calculation of crystalline Rb2SmScS4 at its relaxed geometry, from Alexandria via LeMat-Bulk.

Calculated values
E_form (uncorrected)   -1.755 eV per atom
D(E_F)   0.00 states/eV per cell
ρ   3.82 g/cm³

Lattice parameters (Å, degrees): 4.030 6.971 8.006 106.87 90.00 90.00
Atoms (fractional coordinates):
1 Rb 0.500 0.000 0.500
2 Rb 0.000 0.500 0.500
3 Sm 0.500 0.500 0.000
4 Sc 0.000 0.000 0.000
5 S 0.500 0.214 0.186
6 S 0.500 0.786 0.814
7 S 0.000 0.253 0.808
8 S 0.000 0.747 0.192

***

No. 6
The following is a PBE calculation of crystalline Rb3Sm2ScS6 at its relaxed geometry, from Alexandria via LeMat-Bulk.

Calculated values
E_form (uncorrected)   -1.783 eV per atom
D(E_F)   0.00 states/eV per cell
ρ   3.98 g/cm³

Lattice parameters (Å, degrees): 7.056 7.056 8.033 98.44 98.44 120.00
Atoms (fractional coordinates):
1 Rb 0.169 0.831 0.500
2 Rb 0.831 0.169 0.500
3 Rb 0.500 0.500 0.500
4 Sm 0.334 0.666 0.000
5 Sm 0.666 0.334 0.000
6 Sc 0.000 0.000 0.000
7 S 0.936 0.620 0.809
8 S 0.748 0.748 0.191
9 S 0.064 0.380 0.191
10 S 0.620 0.936 0.809
11 S 0.252 0.252 0.809
12 S 0.380 0.064 0.191

***

No. 7
The following is a PBE calculation of crystalline Rb3Sc3SnS8 at its relaxed geometry, from Alexandria via LeMat-Bulk.

Calculated values
E_form (uncorrected)   -1.467 eV per atom
ρ   3.24 g/cm³

Lattice parameters (Å, degrees): 7.632 7.632 8.951 115.25 90.00 120.00
Atoms (fractional coordinates):
1 Rb 0.000 0.000 0.000
2 Rb 0.000 0.500 0.000
3 Rb 0.500 0.500 0.000
4 Sc 0.500 0.000 0.500
5 Sc 0.500 0.500 0.500
6 Sc 0.000 0.500 0.500
7 Sn 0.000 0.000 0.500
8 S 0.273 0.546 0.320
9 S 0.727 0.454 0.680
10 S 0.773 0.546 0.318
11 S 0.227 0.454 0.682
12 S 0.773 0.045 0.318
13 S 0.227 0.955 0.682
14 S 0.272 0.045 0.318
15 S 0.728 0.955 0.682

***

No. 8
The following is a PBE calculation of crystalline Rb2Sc2SnS6 at its relaxed geometry, from Alexandria via LeMat-Bulk.

Calculated values
E_form (uncorrected)   -1.377 eV per atom
ρ   3.22 g/cm³

Lattice parameters (Å, degrees): 6.576 6.576 8.185 97.79 97.79 120.13
Atoms (fractional coordinates):
1 Rb 0.832 0.168 0.000
2 Rb 0.168 0.832 0.000
3 Sc 0.332 0.668 0.500
4 Sc 0.668 0.332 0.500
5 Sn 0.000 0.000 0.500
6 S 0.731 0.731 0.680
7 S 0.062 0.394 0.681
8 S 0.269 0.269 0.320
9 S 0.394 0.062 0.681
10 S 0.938 0.606 0.319
11 S 0.606 0.938 0.319

***

No. 9
The following is a PBE calculation of crystalline Rb2ScSnS5 at its relaxed geometry, from Alexandria via LeMat-Bulk.

Calculated values
E_form (uncorrected)   -0.997 eV per atom
D(E_F)   6.91 states/eV per cell
ρ   3.03 g/cm³

Lattice parameters (Å, degrees): 3.873 9.924 14.390 90.00 90.00 101.25
Atoms (fractional coordinates):
1 Rb 0.855 0.710 0.817
2 Rb 0.123 0.247 0.686
3 Rb 0.145 0.290 0.317
4 Rb 0.877 0.753 0.186
5 Sc 0.796 0.592 0.526
6 Sc 0.204 0.408 0.026
7 Sn 0.560 0.119 0.927
8 Sn 0.440 0.881 0.427
9 S 0.328 0.657 0.010
10 S 0.682 0.364 0.894
11 S 0.496 0.992 0.790
12 S 0.298 0.597 0.638
13 S 0.948 0.896 0.536
14 S 0.672 0.343 0.510
15 S 0.318 0.636 0.394
16 S 0.504 0.008 0.290
17 S 0.702 0.403 0.138
18 S 0.052 0.104 0.036

***

No. 10
The following is a PBE calculation of crystalline Rb2ScSnS4 at its relaxed geometry, from Alexandria via LeMat-Bulk.

Calculated values
E_form (uncorrected)   -1.094 eV per atom
D(E_F)   9.05 states/eV per cell
ρ   2.72 g/cm³

Lattice parameters (Å, degrees): 6.616 7.961 12.239 83.55 74.32 65.45
Atoms (fractional coordinates):
1 Rb 0.181 0.000 0.637
2 Rb 0.819 0.000 0.363
3 Rb 0.569 0.500 0.863
4 Rb 0.931 0.500 0.137
5 Sc 0.750 0.500 0.500
6 Sc 0.000 0.000 0.000
7 Sn 0.250 0.500 0.500
8 Sn 0.500 0.000 0.000
9 S 0.280 0.805 0.106
10 S 0.190 0.195 0.894
11 S 0.915 0.805 0.894
12 S 0.615 0.195 0.106
13 S 0.470 0.695 0.394
14 S 0.560 0.305 0.606
15 S 0.835 0.695 0.606
16 S 0.135 0.305 0.394

***

No. 11
The following is a PBE calculation of crystalline RbScSn2S6 at its relaxed geometry, from Alexandria via LeMat-Bulk.

Calculated values
E_form (uncorrected)   -0.767 eV per atom
ρ   2.83 g/cm³

Lattice parameters (Å, degrees): 7.405 9.723 9.723 93.70 76.47 76.47
Atoms (fractional coordinates):
1 Rb 0.250 0.886 0.114
2 Rb 0.750 0.114 0.886
3 Sc 0.250 0.216 0.784
4 Sc 0.750 0.784 0.216
5 Sn 0.326 0.768 0.618
6 Sn 0.174 0.382 0.232
7 Sn 0.674 0.232 0.382
8 Sn 0.826 0.618 0.768
9 S 0.207 0.972 0.798
10 S 0.293 0.202 0.028
11 S 0.793 0.028 0.202
12 S 0.707 0.798 0.972
13 S 0.439 0.837 0.387
14 S 0.061 0.613 0.163
15 S 0.561 0.163 0.613
16 S 0.939 0.387 0.837
17 S 0.044 0.691 0.573
18 S 0.456 0.427 0.309
19 S 0.956 0.309 0.427
20 S 0.544 0.573 0.691

***

No. 12
The following is a PBE calculation of crystalline RbSr2ScS at its relaxed geometry, from Alexandria via LeMat-Bulk.

Calculated values
E_form (uncorrected)   1.164 eV per atom
D(E_F)   7.46 states/eV per cell
ρ   2.81 g/cm³

Lattice parameters (Å, degrees): 6.325 4.993 6.325 90.00 90.00 90.00
Atoms (fractional coordinates):
1 Sc 0.000 0.500 0.000
2 Sr 0.000 0.000 0.500
3 Sr 0.500 0.000 0.000
4 S 0.500 0.500 0.500
5 Rb 0.000 0.000 0.000

***

Per-record M_tot, μB per formula unit: 0.0, 0.0, 0.0, 0.0, 0.0, 0.0, 0.0, 0.0, 1.0, 0.0, 0.0, 0.0